Ce2GaCo4P3 | PBE-GGA | relaxed

```
Ce2GaCo4P3
1.0
3.9486 0.0000 0.0000
0.0000 3.9486 0.0000
0.0000 0.0000 9.4158
Ce Ga Co P
2 1 4 3
direct
0.5000 0.0000 0.2453
0.0000 0.5000 0.7547
0.5000 0.5000 0.5000
0.5000 0.5000 0.0000
0.0000 0.0000 0.0000
0.5000 0.0000 0.6333
0.0000 0.5000 0.3667
0.0000 0.0000 0.5000
0.5000 0.0000 0.8723
0.0000 0.5000 0.1277
```

Computed properties:
density of states at the Fermi level: 10.11 states/eV/cell
VASP energy: -6.8562 eV per atom
formation energy from the elements: -0.901 eV per atom